The following is a SCAN calculation of KMo2P4O14 at its PBEsol-relaxed geometry, from Alexandria.

Geometry as POSCAR:
```
KMo2P4O14
1.0
4.9434 0.0000 0.0000
-1.8483 6.9589 0.0000
-0.4807 -0.1801 8.1211
K Mo P O
1 2 4 14
direct
0.0000 0.0000 0.0000
0.0000 0.0000 0.5000
0.5000 0.5000 0.0000
0.0074 0.6125 0.7478
0.3772 0.7632 0.3033
0.6228 0.2368 0.6967
0.9926 0.3875 0.2522
0.0869 0.7910 0.6465
0.1499 0.3506 0.1027
0.1841 0.8991 0.3096
0.2061 0.5539 0.3625
0.2629 0.5409 0.7998
0.3701 0.1818 0.5751
0.4480 0.7423 0.1234
0.5520 0.2577 0.8766
0.6299 0.8182 0.4249
0.7371 0.4591 0.2002
0.7939 0.4461 0.6375
0.8159 0.1009 0.6904
0.8501 0.6494 0.8973
0.9131 0.2090 0.3535
```

Computed properties:
As for the formation energy without anion corrections: -2.3458 eV per atom. The spin magnetization comes out at 5.00 μB per formula unit. As for the symmetry: No. 2.

---

The following is a SCAN calculation of CsTc2P2 at its PBEsol-relaxed geometry, from Alexandria.

Geometry as POSCAR:
```
CsTc2P2
1.0
4.0435 0.0000 0.0000
0.0000 4.0435 0.0000
0.0000 0.0000 13.8865
Cs Tc P
2 4 4
direct
0.0000 0.0000 0.0000
0.5000 0.5000 0.5000
0.0000 0.5000 0.2500
0.0000 0.5000 0.7500
0.5000 0.0000 0.2500
0.5000 0.0000 0.7500
0.0000 0.0000 0.3329
0.0000 0.0000 0.6671
0.5000 0.5000 0.1671
0.5000 0.5000 0.8329
```

Computed properties:
As for the energy of formation from the pure elements: -0.48 eV/atom. The spin magnetization comes out at 0.01 μB per formula unit. As for the symmetry: No. 139.